## Ac2Cd5Ag12 (GGA-PBE)

Data for Ac2Cd5Ag12 after structural relaxation.

```
Ac2Cd5Ag12
1.0
4.952 2.859 4.859
-4.952 2.859 4.859
0.000 -5.718 4.859
Ac Cd Ag
2 5 12
Direct
0.149 0.149 0.149
0.851 0.851 0.851
0.000 0.500 0.500
0.400 0.400 0.400
0.500 0.000 0.500
0.500 0.500 0.000
0.600 0.600 0.600
0.149 0.149 0.656
0.149 0.656 0.149
0.197 0.500 0.803
0.197 0.803 0.500
0.344 0.851 0.851
0.500 0.197 0.803
0.500 0.803 0.197
0.656 0.149 0.149
0.803 0.197 0.500
0.803 0.500 0.197
0.851 0.344 0.851
0.851 0.851 0.344
```

Computed properties:
Crystal system   trigonal
Calculated formation energy   -13.1 kJ per mole of atoms

## CdSi2W (GGA-PBE)

Data for CdSi2W after structural relaxation.

```
CdSi2W
1.0
2.770 0.000 0.000
0.000 4.627 0.000
0.000 0.000 5.247
Cd Si W
1 2 1
Direct
0.000 0.000 0.000
0.000 0.500 0.500
0.500 0.500 0.000
0.500 0.000 0.500
```

Computed properties:
Calculated total energy   -5.520 eV/atom
Crystal system   orthorhombic

## Zr2SnP (GGA-PBE)

Data for Zr2SnP after structural relaxation.

```
Zr2SnP
1.0
1.810 1.045 7.518
-1.810 1.045 7.518
0.000 -2.090 7.518
Zr Sn P
2 1 1
Direct
0.000 0.000 0.000
0.201 0.201 0.201
0.768 0.768 0.768
0.600 0.600 0.600
```

Computed properties:
Energy relative to the lowest polymorph listed for this composition   0.00 eV per formula unit
Crystal system   trigonal
Calculated formation energy   -91.5 kJ per mole of atoms

## YTm2Au (GGA-PBE)

Data for YTm2Au after structural relaxation.

```
YTm2Au
1.0
1.856 1.071 9.690
-1.856 1.071 9.690
0.000 -2.143 9.690
Y Tm Au
1 2 1
Direct
0.000 0.000 0.000
0.568 0.568 0.568
0.763 0.763 0.763
0.165 0.165 0.165
```

Computed properties:
Energy relative to the lowest polymorph listed for this composition   0.63 eV per formula unit
Crystal system   trigonal
Calculated formation energy   -29.8 kJ per mole of atoms

## In2SbCl (GGA-PBE)

Data for In2SbCl after structural relaxation.

```
In2SbCl
1.0
-1.749 2.444 6.480
1.749 -2.444 6.480
1.749 2.444 -6.480
In Sb Cl
2 1 1
Direct
0.000 0.000 0.000
0.792 0.292 0.500
0.203 0.703 0.500
0.490 0.490 0.000
```

Computed properties:
Energy relative to the lowest polymorph listed for this composition   0.51 eV per formula unit
Crystal system   orthorhombic

## Hf3NbV (GGA-PBE)

Data for Hf3NbV after structural relaxation.

```
Hf3NbV
1.0
4.801 0.000 0.000
0.000 4.801 0.000
0.000 0.000 4.801
Hf Nb V
3 1 1
Direct
0.000 0.000 0.500
0.000 0.500 0.000
0.500 0.000 0.000
0.500 0.500 0.500
0.000 0.000 0.000
```

Computed properties:
Energy relative to the lowest polymorph listed for this composition   0.00 eV per formula unit
Crystal system   cubic
Calculated formation energy   85.3 kJ per mole of atoms

## SiNi2Pb (GGA-PBE)

Data for SiNi2Pb after structural relaxation.

```
SiNi2Pb
1.0
3.265 0.000 0.000
0.000 3.265 0.000
0.000 0.000 5.899
Si Ni Pb
1 2 1
Direct
0.000 0.000 0.000
0.000 0.000 0.375
0.500 0.500 0.113
0.500 0.500 0.623
```

Computed properties:
Energy relative to the lowest polymorph listed for this composition   0.77 eV per formula unit
Crystal system   tetragonal

## Th8BiTe4Os3 (GGA-PBE)

Data for Th8BiTe4Os3 after structural relaxation.

```
Th8BiTe4Os3
1.0
4.325 2.497 7.594
-4.325 2.497 7.594
0.000 -4.994 7.594
Th Bi Te Os
8 1 4 3
Direct
0.207 0.750 0.750
0.234 0.234 0.234
0.250 0.250 0.793
0.250 0.793 0.250
0.750 0.207 0.750
0.750 0.750 0.207
0.766 0.766 0.766
0.793 0.250 0.250
0.500 0.500 0.500
0.000 0.000 0.000
0.000 0.500 0.500
0.500 0.000 0.500
0.500 0.500 0.000
0.000 0.000 0.500
0.000 0.500 0.000
0.500 0.000 0.000
```

Computed properties:
Calculated total energy   -7.632 eV/atom
Crystal system   trigonal